CsRb2Ag2 | Alexandria via LeMat-Bulk | GGA-PBE | optimized geometry; energy relative to the elements = 0.09 eV per atom; energy relative to the lowest polymorph listed for this composition = 26 meV/atom
1.0
5.730 0.000 0.000
0.000 5.730 0.000
2.865 2.865 7.624
Rb Ag Cs
2 2 1
Cartesian
2.865 5.730 3.812
5.730 2.865 3.812
2.865 2.865 1.409
5.730 5.730 6.215
0.000 0.000 0.000